This record from Alexandria describes crystalline TbEu2Y at its relaxed geometry. The functional is PBE-GGA.

Output
- formation energy (kcal/mol of atoms) = 3.8
- energy above the lowest structure with this stoichiometry (eV per atom) = 0.001

```
data_TbEu2Y
_chemical_formula_sum 'Tb1 Eu2 Y1'
_space_group_name_H-M_alt 'P 4/m m m'
_space_group_IT_number 123
_space_group_name_Hall '-P 4 2'
_cell_length_a 5.8545
_cell_length_b 5.8545
_cell_length_c 4.1650
_cell_angle_alpha 90.00
_cell_angle_beta 90.00
_cell_angle_gamma 90.00
loop_
_atom_site_label
_atom_site_type_symbol
_atom_site_fract_x
_atom_site_fract_y
_atom_site_fract_z
Tb1 Tb 0.0000 0.0000 0.0000
Eu1 Eu 0.0000 0.5000 0.5000
Y1 Y 0.5000 0.5000 0.0000
```



This record from Alexandria describes crystalline TbEuY2 at its relaxed geometry. The functional is PBE-GGA.

Output
- formation energy (kcal/mol of atoms) = 6.3
- energy above the lowest structure with this stoichiometry (eV per atom) = 0.216

```
data_TbEuY2
_chemical_formula_sum 'Tb3 Eu3 Y6'
_space_group_name_H-M_alt 'R -3 m'
_space_group_IT_number 166
_space_group_name_Hall '-R 3 2"'
_cell_length_a 3.5259
_cell_length_b 3.5259
_cell_length_c 38.2079
_cell_angle_alpha 90.00
_cell_angle_beta 90.00
_cell_angle_gamma 120.00
loop_
_atom_site_label
_atom_site_type_symbol
_atom_site_fract_x
_atom_site_fract_y
_atom_site_fract_z
Tb1 Tb 0.0000 0.0000 0.0000
Eu1 Eu 0.0000 0.0000 0.5000
Y1 Y 0.0000 0.0000 0.0868
```



This record from Alexandria describes crystalline TbEu2Y at its relaxed geometry. The functional is PBE-GGA.

Output
- formation energy (kcal/mol of atoms) = 3.8
- energy above the lowest structure with this stoichiometry (eV per atom) = 0.000

```
data_TbEu2Y
_chemical_formula_sum 'Tb4 Eu8 Y4'
_space_group_name_H-M_alt 'F m -3 m'
_space_group_IT_number 225
_space_group_name_Hall '-F 4 2 3'
_cell_length_a 8.2901
_cell_length_b 8.2901
_cell_length_c 8.2901
_cell_angle_alpha 90.00
_cell_angle_beta 90.00
_cell_angle_gamma 90.00
loop_
_atom_site_label
_atom_site_type_symbol
_atom_site_fract_x
_atom_site_fract_y
_atom_site_fract_z
Tb1 Tb 0.0000 0.0000 0.0000
Eu1 Eu 0.2500 0.2500 0.2500
Y1 Y 0.0000 0.0000 0.5000
```



This record from Alexandria describes crystalline TbEuY2 at its relaxed geometry. The functional is PBE-GGA.

Output
- formation energy (kcal/mol of atoms) = 3.6
- energy above the lowest structure with this stoichiometry (eV per atom) = 0.098

```
data_TbEuY2
_chemical_formula_sum 'Tb4 Eu4 Y8'
_space_group_name_H-M_alt 'F m -3 m'
_space_group_IT_number 225
_space_group_name_Hall '-F 4 2 3'
_cell_length_a 8.1602
_cell_length_b 8.1602
_cell_length_c 8.1602
_cell_angle_alpha 90.00
_cell_angle_beta 90.00
_cell_angle_gamma 90.00
loop_
_atom_site_label
_atom_site_type_symbol
_atom_site_fract_x
_atom_site_fract_y
_atom_site_fract_z
Tb1 Tb 0.0000 0.0000 0.0000
Eu1 Eu 0.0000 0.0000 0.5000
Y1 Y 0.2500 0.2500 0.2500
```



This record from Alexandria describes crystalline Tb2EuZn at its relaxed geometry. The functional is PBE-GGA.

Output
- formation energy (kcal/mol of atoms) = -0.6
- energy above the lowest structure with this stoichiometry (eV per atom) = 0.092

```
data_Tb2EuZn
_chemical_formula_sum 'Tb6 Eu3 Zn3'
_space_group_name_H-M_alt 'R -3 m'
_space_group_IT_number 166
_space_group_name_Hall '-R 3 2"'
_cell_length_a 3.6502
_cell_length_b 3.6502
_cell_length_c 31.8309
_cell_angle_alpha 90.00
_cell_angle_beta 90.00
_cell_angle_gamma 120.00
loop_
_atom_site_label
_atom_site_type_symbol
_atom_site_fract_x
_atom_site_fract_y
_atom_site_fract_z
Tb1 Tb 0.0000 0.0000 0.2352
Eu1 Eu 0.0000 0.0000 0.0000
Zn1 Zn 0.0000 0.0000 0.5000
```



This record from Alexandria describes crystalline TbEu2Zn at its relaxed geometry. The functional is PBE-GGA.

Output
- formation energy (kcal/mol of atoms) = 4.3
- energy above the lowest structure with this stoichiometry (eV per atom) = 0.245

```
data_TbEu2Zn
_chemical_formula_sum 'Tb3 Eu6 Zn3'
_space_group_name_H-M_alt 'R -3 m'
_space_group_IT_number 166
_space_group_name_Hall '-R 3 2"'
_cell_length_a 3.5914
_cell_length_b 3.5914
_cell_length_c 35.2855
_cell_angle_alpha 90.00
_cell_angle_beta 90.00
_cell_angle_gamma 120.00
loop_
_atom_site_label
_atom_site_type_symbol
_atom_site_fract_x
_atom_site_fract_y
_atom_site_fract_z
Tb1 Tb 0.0000 0.0000 0.0000
Eu1 Eu 0.0000 0.0000 0.0986
Zn1 Zn 0.0000 0.0000 0.5000
```



This record from Alexandria describes crystalline Tb2EuZn at its relaxed geometry. The functional is PBE-GGA.

Output
- formation energy (kcal/mol of atoms) = -2.7
- energy above the lowest structure with this stoichiometry (eV per atom) = 0.000

```
data_Tb2EuZn
_chemical_formula_sum 'Tb2 Eu1 Zn1'
_space_group_name_H-M_alt 'P 4/m m m'
_space_group_IT_number 123
_space_group_name_Hall '-P 4 2'
_cell_length_a 3.6302
_cell_length_b 3.6302
_cell_length_c 8.9702
_cell_angle_alpha 90.00
_cell_angle_beta 90.00
_cell_angle_gamma 90.00
loop_
_atom_site_label
_atom_site_type_symbol
_atom_site_fract_x
_atom_site_fract_y
_atom_site_fract_z
Tb1 Tb 0.0000 0.0000 0.1904
Eu1 Eu 0.5000 0.5000 0.5000
Zn1 Zn 0.5000 0.5000 0.0000
```



This record from Alexandria describes crystalline Tb2EuZn at its relaxed geometry. The functional is PBE-GGA.

Output
- formation energy (kcal/mol of atoms) = 0.8
- energy above the lowest structure with this stoichiometry (eV per atom) = 0.152

```
data_Tb2EuZn
_chemical_formula_sum 'Tb2 Eu1 Zn1'
_space_group_name_H-M_alt 'P 4/m m m'
_space_group_IT_number 123
_space_group_name_Hall '-P 4 2'
_cell_length_a 4.8689
_cell_length_b 4.8689
_cell_length_c 4.7362
_cell_angle_alpha 90.00
_cell_angle_beta 90.00
_cell_angle_gamma 90.00
loop_
_atom_site_label
_atom_site_type_symbol
_atom_site_fract_x
_atom_site_fract_y
_atom_site_fract_z
Tb1 Tb 0.0000 0.5000 0.0000
Eu1 Eu 0.0000 0.0000 0.5000
Zn1 Zn 0.5000 0.5000 0.5000
```